w) The following is a DFT calculation (PBE-GGA) of a geometry-optimized Ir structure.

Unit cell a=2.561 b=2.561 c=2.561 alpha=88.81 beta=88.81 gamma=88.81
Fractional coordinates of all 1 atoms:
Ir1 0.000 0.000 0.000

x) The following is a DFT calculation (PBE-GGA) of a geometry-optimized Ir structure.

Unit cell a=2.724 b=2.724 c=41.231 alpha=90.00 beta=90.00 gamma=90.00
Fractional coordinates of all 16 atoms:
Ir1 0.250 0.250 0.023
Ir2 0.250 0.250 0.117
Ir3 0.250 0.250 0.211
Ir4 0.250 0.250 0.306
Ir5 0.250 0.250 0.650
Ir6 0.250 0.250 0.742
Ir7 0.250 0.250 0.836
Ir8 0.250 0.250 0.930
Ir9 0.750 0.750 0.070
Ir10 0.750 0.750 0.164
Ir11 0.750 0.750 0.258
Ir12 0.750 0.750 0.350
Ir13 0.750 0.750 0.694
Ir14 0.750 0.750 0.789
Ir15 0.750 0.750 0.883
Ir16 0.750 0.750 0.977

y) The following is a DFT calculation (PBE-GGA) of a geometry-optimized Ir structure.

Unit cell a=4.374 b=4.374 c=2.695 alpha=90.00 beta=90.00 gamma=120.00
Fractional coordinates of all 3 atoms:
Ir1 0.000 0.000 0.000
Ir2 0.333 0.667 0.500
Ir3 0.667 0.333 0.500

z) The following is a DFT calculation (PBE-GGA) of a geometry-optimized Ir structure.

Unit cell a=6.670 b=6.670 c=6.670 alpha=90.00 beta=90.00 gamma=90.00
Fractional coordinates of all 20 atoms:
Ir1 0.052 0.125 0.802
Ir2 0.056 0.944 0.444
Ir3 0.125 0.802 0.052
Ir4 0.194 0.194 0.194
Ir5 0.198 0.552 0.375
Ir6 0.302 0.448 0.875
Ir7 0.306 0.806 0.694
Ir8 0.375 0.198 0.552
Ir9 0.444 0.056 0.944
Ir10 0.448 0.875 0.302
Ir11 0.552 0.375 0.198
Ir12 0.556 0.556 0.556
Ir13 0.625 0.698 0.948
Ir14 0.694 0.306 0.806
Ir15 0.698 0.948 0.625
Ir16 0.802 0.052 0.125
Ir17 0.806 0.694 0.306
Ir18 0.875 0.302 0.448
Ir19 0.944 0.444 0.056
Ir20 0.948 0.625 0.698

Going by the energies, x) is most stable and the next is 0.114 eV/atom up.

w) The following is a DFT calculation (PBE-GGA) of a geometry-optimized Ir structure.

Unit cell a=8.241 b=8.241 c=8.241 alpha=109.47 beta=109.47 gamma=109.47
Fractional coordinates of all 29 atoms:
Ir1 0.000 0.000 0.000
Ir2 0.000 0.000 0.332
Ir3 0.000 0.311 0.585
Ir4 0.000 0.332 0.000
Ir5 0.000 0.585 0.311
Ir6 0.000 0.621 0.808
Ir7 0.000 0.808 0.621
Ir8 0.187 0.379 0.379
Ir9 0.192 0.192 0.813
Ir10 0.192 0.813 0.192
Ir11 0.275 0.689 0.689
Ir12 0.311 0.000 0.585
Ir13 0.311 0.585 0.000
Ir14 0.332 0.000 0.000
Ir15 0.379 0.187 0.379
Ir16 0.379 0.379 0.187
Ir17 0.415 0.415 0.725
Ir18 0.415 0.725 0.415
Ir19 0.585 0.000 0.311
Ir20 0.585 0.311 0.000
Ir21 0.621 0.000 0.808
Ir22 0.621 0.808 0.000
Ir23 0.668 0.668 0.668
Ir24 0.689 0.275 0.689
Ir25 0.689 0.689 0.275
Ir26 0.725 0.415 0.415
Ir27 0.808 0.000 0.621
Ir28 0.808 0.621 0.000
Ir29 0.813 0.192 0.192

x) The following is a DFT calculation (PBE-GGA) of a geometry-optimized Ir structure.

Unit cell a=2.684 b=2.684 c=2.684 alpha=61.80 beta=61.80 gamma=61.80
Fractional coordinates of all 1 atoms:
Ir1 0.000 0.000 0.000

Going by the energies, x) is most stable and the next is 0.291 eV/atom up.

w) The following is a DFT calculation (PBE-GGA) of a geometry-optimized Ir structure.

Unit cell a=4.925 b=4.925 c=4.925 alpha=90.00 beta=90.00 gamma=90.00
Fractional coordinates of all 8 atoms:
Ir1 0.000 0.000 0.000
Ir2 0.000 0.250 0.500
Ir3 0.000 0.750 0.500
Ir4 0.250 0.500 0.000
Ir5 0.500 0.000 0.250
Ir6 0.500 0.000 0.750
Ir7 0.500 0.500 0.500
Ir8 0.750 0.500 0.000

x) The following is a DFT calculation (PBE-GGA) of a geometry-optimized Ir structure.

Unit cell a=3.923 b=3.923 c=3.923 alpha=60.00 beta=60.00 gamma=60.00
Fractional coordinates of all 2 atoms:
Ir1 0.125 0.125 0.125
Ir2 0.875 0.875 0.875

y) The following is a DFT calculation (PBE-GGA) of a geometry-optimized Ir structure.

Unit cell a=5.196 b=5.196 c=8.549 alpha=90.00 beta=90.00 gamma=149.51
Fractional coordinates of all 8 atoms:
Ir1 0.027 0.973 0.750
Ir2 0.240 0.760 0.250
Ir3 0.371 0.629 0.518
Ir4 0.371 0.629 0.982
Ir5 0.629 0.371 0.018
Ir6 0.629 0.371 0.482
Ir7 0.760 0.240 0.750
Ir8 0.973 0.027 0.250

Going by the energies, y) is most stable and the next is 0.365 eV/atom up.

w) The following is a DFT calculation (PBE-GGA) of a geometry-optimized Ir structure.

Unit cell a=2.711 b=3.846 c=33.336 alpha=90.00 beta=90.00 gamma=90.00
Fractional coordinates of all 16 atoms:
Ir1 0.250 0.250 0.021
Ir2 0.250 0.250 0.103
Ir3 0.250 0.250 0.185
Ir4 0.250 0.250 0.269
Ir5 0.250 0.250 0.695
Ir6 0.250 0.250 0.774
Ir7 0.250 0.250 0.855
Ir8 0.250 0.250 0.938
Ir9 0.750 0.750 0.062
Ir10 0.750 0.750 0.145
Ir11 0.750 0.750 0.226
Ir12 0.750 0.750 0.305
Ir13 0.750 0.750 0.731
Ir14 0.750 0.750 0.815
Ir15 0.750 0.750 0.897
Ir16 0.750 0.750 0.979

x) The following is a DFT calculation (PBE-GGA) of a geometry-optimized Ir structure.

Unit cell a=4.688 b=4.688 c=27.988 alpha=90.13 beta=90.13 gamma=48.27
Fractional coordinates of all 18 atoms:
Ir1 0.000 0.000 0.000
Ir2 0.000 0.000 0.691
Ir3 0.097 0.097 0.093
Ir4 0.104 0.104 0.783
Ir5 0.199 0.199 0.181
Ir6 0.200 0.200 0.876
Ir7 0.301 0.301 0.664
Ir8 0.301 0.301 0.969
Ir9 0.397 0.397 0.061
Ir10 0.404 0.404 0.752
Ir11 0.500 0.500 0.154
Ir12 0.501 0.501 0.845
Ir13 0.601 0.601 0.939
Ir14 0.697 0.697 0.719
Ir15 0.700 0.700 0.032
Ir16 0.801 0.801 0.813
Ir17 0.803 0.803 0.126
Ir18 0.900 0.900 0.906

y) The following is a DFT calculation (PBE-GGA) of a geometry-optimized Ir structure.

Unit cell a=2.734 b=2.734 c=2.734 alpha=120.26 beta=120.26 gamma=89.55
Fractional coordinates of all 1 atoms:
Ir1 0.000 0.000 0.000

Going by the energies, y) is most stable and the next is 0.234 eV/atom up.

w) The following is a DFT calculation (PBE-GGA) of a geometry-optimized Ir structure.

Unit cell a=5.370 b=5.067 c=2.622 alpha=81.97 beta=69.12 gamma=28.91
Fractional coordinates of all 2 atoms:
Ir1 0.127 0.127 0.873
Ir2 0.873 0.873 0.127

x) The following is a DFT calculation (PBE-GGA) of a geometry-optimized Ir structure.

Unit cell a=2.711 b=2.711 c=30.594 alpha=90.00 beta=90.00 gamma=120.00
Fractional coordinates of all 9 atoms:
Ir1 0.000 0.000 0.000
Ir2 0.000 0.000 0.220
Ir3 0.000 0.000 0.780
Ir4 0.333 0.667 0.147
Ir5 0.333 0.667 0.708
Ir6 0.333 0.667 0.927
Ir7 0.667 0.333 0.073
Ir8 0.667 0.333 0.292
Ir9 0.667 0.333 0.853

y) The following is a DFT calculation (PBE-GGA) of a geometry-optimized Ir structure.

Unit cell a=2.741 b=2.741 c=4.451 alpha=90.00 beta=90.00 gamma=119.99
Fractional coordinates of all 2 atoms:
Ir1 0.165 0.835 0.750
Ir2 0.835 0.165 0.250

z) The following is a DFT calculation (PBE-GGA) of a geometry-optimized Ir structure.

Unit cell a=6.877 b=6.877 c=6.877 alpha=22.93 beta=22.93 gamma=22.93
Fractional coordinates of all 3 atoms:
Ir1 0.000 0.000 0.000
Ir2 0.223 0.223 0.223
Ir3 0.777 0.777 0.777

Going by the energies, z) is most stable and the next is 0.026 eV/atom up.

w) The following is a DFT calculation (PBE-GGA) of a geometry-optimized Ir structure.

Unit cell a=4.672 b=4.672 c=4.672 alpha=145.98 beta=145.98 gamma=48.88
Fractional coordinates of all 2 atoms:
Ir1 0.144 0.144 0.000
Ir2 0.856 0.856 0.000

x) The following is a DFT calculation (PBE-GGA) of a geometry-optimized Ir structure.

Unit cell a=2.743 b=2.743 c=4.449 alpha=90.00 beta=90.00 gamma=120.00
Fractional coordinates of all 2 atoms:
Ir1 0.333 0.667 0.250
Ir2 0.667 0.333 0.750

Going by the energies, x) is most stable and the next is 0.309 eV/atom up.

w) The following is a DFT calculation (PBE-GGA) of a geometry-optimized KLiReIr structure.

Unit cell a=4.519 b=4.519 c=4.519 alpha=60.00 beta=60.00 gamma=60.00
Fractional coordinates of all 4 atoms:
K1 0.000 0.000 0.000
Li1 0.250 0.250 0.250
Re1 0.750 0.750 0.750
Ir1 0.500 0.500 0.500

x) The following is a DFT calculation (PBE-GGA) of a geometry-optimized KLiReIr structure.

Unit cell a=4.591 b=4.591 c=4.591 alpha=60.00 beta=60.00 gamma=60.00
Fractional coordinates of all 4 atoms:
K1 0.000 0.000 0.000
Li1 0.250 0.250 0.250
Re1 0.500 0.500 0.500
Ir1 0.750 0.750 0.750

y) The following is a DFT calculation (PBE-GGA) of a geometry-optimized KLiReIr structure.

Unit cell a=4.673 b=4.673 c=4.673 alpha=60.00 beta=60.00 gamma=60.00
Fractional coordinates of all 4 atoms:
K1 0.000 0.000 0.000
Li1 0.500 0.500 0.500
Re1 0.750 0.750 0.750
Ir1 0.250 0.250 0.250

Going by the energies, w) is most stable and the next is 0.152 eV/atom up.

w) The following is a DFT calculation (PBE-GGA) of a geometry-optimized KMgMoIr structure.

Unit cell a=4.671 b=4.671 c=4.671 alpha=60.00 beta=60.00 gamma=60.00
Fractional coordinates of all 4 atoms:
K1 0.000 0.000 0.000
Mg1 0.750 0.750 0.750
Mo1 0.250 0.250 0.250
Ir1 0.500 0.500 0.500

x) The following is a DFT calculation (PBE-GGA) of a geometry-optimized KMgMoIr structure.

Unit cell a=4.758 b=4.758 c=4.758 alpha=60.00 beta=60.00 gamma=60.00
Fractional coordinates of all 4 atoms:
K1 0.000 0.000 0.000
Mg1 0.750 0.750 0.750
Mo1 0.500 0.500 0.500
Ir1 0.250 0.250 0.250

Going by the energies, w) is most stable and the next is 0.228 eV/atom up.

w) The following is a DFT calculation (PBE-GGA) of a geometry-optimized KMoIr structure.

Unit cell a=4.442 b=4.442 c=4.442 alpha=60.00 beta=60.00 gamma=60.00
Fractional coordinates of all 3 atoms:
K1 0.000 0.000 0.000
Mo1 0.750 0.750 0.750
Ir1 0.500 0.500 0.500

x) The following is a DFT calculation (PBE-GGA) of a geometry-optimized KMoIr structure.

Unit cell a=4.674 b=4.674 c=4.674 alpha=60.00 beta=60.00 gamma=60.00
Fractional coordinates of all 3 atoms:
K1 0.000 0.000 0.000
Mo1 0.250 0.250 0.250
Ir1 0.750 0.750 0.750

Going by the energies, w) is most stable and the next is 1.213 eV/atom up.